Material: Rb3SiSn
Method: DFT, PBE-GGA
State: optimized geometry

Unit cell a=6.7311 b=6.7311 c=6.7311 alpha=90.00 beta=90.00 gamma=90.00
Each line ends with the local moment (μB).
Sites, in units of the cell vectors:
Si 0.0000 0.0000 0.0000  0.53
Sn 0.5000 0.5000 0.5000  0.77
Rb 0.5000 0.0000 0.0000  0.04
Rb 0.0000 0.0000 0.5000  0.05
Rb 0.0000 0.5000 0.0000  0.04

Output
space-group type: No. 221
formation energy (no corrections): 275 kJ/mol of formula units
calculated total energy: -1.896 eV per atom
total magnetization: 0.9558 μB/atom
density of states at the Fermi level: 5.478 states/eV/cell